DFT (PBE) results for a geometry-optimized BaNbTl3 structure.

## Properties
Calculated volume   226 Å³/cell
Energy of formation from the pure elements   1781 meV per atom
Total magnetization   0.000 μB per atom
SG   Pm-3m
ΔE to the lowest computed polymorph   1744.1 meV per atom

POSCAR file:
```
BaNbTl3
1.0
6.0913 0.0000 0.0000
0.0000 6.0913 0.0000
0.0000 0.0000 6.0913
Ba Nb Tl
1 1 3
Cartesian
0.0000 0.0000 0.0000
3.0457 3.0457 3.0457
0.0000 0.0000 3.0457
0.0000 3.0457 0.0000
3.0457 0.0000 0.0000
```

DFT (PBE) results for a geometry-optimized MgIrPb2 structure.

## Properties
Calculated volume   104 Å³/cell
Energy of formation from the pure elements   41 meV per atom
Total magnetization   0.000 μB per atom
SG   Cm

POSCAR file:
```
MgIrPb2
1.0
4.8115 -1.6155 0.0000
4.8115 1.6155 0.0000
-2.3876 0.0000 6.6846
Mg Ir Pb
1 1 2
Cartesian
0.0000 0.0000 0.0000
4.5849 0.0000 6.6535
0.0647 0.0000 4.3817
2.5057 0.0000 2.2519
```

DFT (PBE) results for a geometry-optimized Na12Pt3Cl5 structure.

## Properties
Calculated volume   2244 Å³/cell
Total magnetization   0.000 μB per atom
SG   Ia-3d
Formation energy without anion corrections   -0.82 eV per atom

POSCAR file:
```
Na12Pt3Cl5
1.0
-8.2476 8.2476 8.2476
8.2476 -8.2476 8.2476
8.2476 8.2476 -8.2476
Na Pt Cl
48 12 20
Cartesian
2.5641 -0.2327 1.1474
9.8073 5.2712 -4.3565
10.8116 0.2327 1.1474
9.8073 -2.9764 4.3565
8.0148 -1.1474 2.5641
12.6040 -1.5597 2.9764
1.1474 2.5641 -0.2327
11.2239 3.8911 -1.5597
5.2712 4.3565 -1.5597
7.1002 2.5641 0.2327
-0.2327 1.1474 2.5641
4.3565 -1.5597 5.2712
8.0148 7.1002 -2.5641
4.3565 1.5597 2.9764
5.2712 -4.3565 9.8073
7.1002 -2.5641 8.0148
2.9764 4.3565 1.5597
9.3949 5.6835 0.2327
4.3565 9.8073 -2.9764
8.0148 1.1474 5.6835
2.5641 8.0148 -1.1474
9.8073 2.9764 3.8911
1.5597 2.9764 4.3565
2.5641 0.2327 7.1002
5.6835 8.0148 1.1474
6.6878 5.2712 3.8911
-1.5597 5.2712 4.3565
5.6835 0.2327 9.3949
0.2327 7.1002 2.5641
3.8911 -1.5597 11.2239
-1.1474 2.5641 8.0148
5.2712 3.8911 6.6878
1.1474 10.8116 0.2327
2.9764 12.6040 -1.5597
3.8911 6.6878 5.2712
0.2327 1.1474 10.8116
3.8911 9.8073 2.9764
8.4803 7.1002 5.6835
1.1474 5.6835 8.0148
2.9764 3.8911 9.8073
-2.9764 4.3565 9.8073
7.1002 5.6835 8.4803
-4.3565 9.8073 5.2712
0.2327 9.3949 5.6835
-1.5597 11.2239 3.8911
-2.5641 8.0148 7.1002
-1.5597 2.9764 12.6040
5.6835 8.4803 7.1002
4.1238 2.0619 0.0000
8.2476 4.1238 -2.0619
2.0619 0.0000 4.1238
10.3094 0.0000 4.1238
0.0000 4.1238 2.0619
4.1238 -2.0619 8.2476
4.1238 10.3094 0.0000
8.2476 4.1238 6.1857
-2.0619 8.2476 4.1238
6.1857 8.2476 4.1238
0.0000 4.1238 10.3094
4.1238 6.1857 8.2476
0.0000 0.0000 0.0000
4.1238 4.1238 -4.1238
4.1238 -4.1238 4.1238
8.2476 0.0000 0.0000
12.3713 2.0619 0.0000
8.2476 -4.1238 6.1857
6.1857 8.2476 -4.1238
6.1857 0.0000 4.1238
4.1238 6.1857 0.0000
8.2476 4.1238 2.0619
-4.1238 4.1238 4.1238
0.0000 8.2476 0.0000
0.0000 0.0000 8.2476
4.1238 4.1238 4.1238
0.0000 4.1238 6.1857
4.1238 2.0619 8.2476
2.0619 8.2476 4.1238
2.0619 0.0000 12.3713
0.0000 12.3713 2.0619
-4.1238 6.1857 8.2476
```

DFT (PBE) results for a geometry-optimized Er3Cu2Pt structure.

## Properties
Calculated volume   245 Å³/cell
Energy of formation from the pure elements   -633 meV per atom
Total magnetization   0.000 μB per atom
SG   P-3m1
ΔE to the lowest computed polymorph   0.0 meV per atom

POSCAR file:
```
Er3Cu2Pt
1.0
4.8701 0.0000 0.0000
-2.4350 4.2176 0.0000
0.0000 0.0000 11.9507
Er Cu Pt
6 4 2
Cartesian
0.0000 0.0000 2.9902
0.0000 0.0000 8.9606
0.0000 2.8117 4.9649
0.0000 2.8117 10.9358
2.4350 1.4059 1.0150
2.4350 1.4059 6.9859
0.0000 0.0000 0.0000
0.0000 0.0000 5.9754
0.0000 2.8117 1.8962
2.4350 1.4059 10.0546
0.0000 2.8117 7.9371
2.4350 1.4059 4.0136
```

DFT (PBE) results for a geometry-optimized ZrCdRuN2 structure.

## Properties
Calculated volume   80 Å³/cell
Total magnetization   0.000 μB per atom
SG   P4/mmm
Formation energy without anion corrections   1.01 eV per atom

POSCAR file:
```
ZrCdRuN2
1.0
3.9415 0.0000 0.0000
0.0000 3.9415 0.0000
0.0000 0.0000 5.1532
Zr Cd Ru N
1 1 1 2
Cartesian
0.0000 0.0000 0.0000
1.9708 1.9708 0.0000
1.9708 1.9708 2.5766
0.0000 1.9708 2.5766
1.9708 0.0000 2.5766
```

DFT (PBE) results for a geometry-optimized Ag2BiBO4 structure.

## Properties
Calculated volume   111 Å³/cell
Total magnetization   0.000 μB per atom
SG   I-4
Formation energy without anion corrections   -1.04 eV per atom

POSCAR file:
```
Ag2BiBO4
1.0
-2.4708 2.4708 4.5417
2.4708 -2.4708 4.5417
2.4708 2.4708 -4.5417
Ag Bi B O
2 1 1 4
Cartesian
0.0000 0.0000 0.0000
0.0000 2.4708 2.2709
0.0000 0.0000 4.5417
2.4708 0.0000 2.2709
0.9038 1.6361 -1.4154
3.3055 0.9038 1.4154
1.5670 0.8347 3.1263
-0.8347 1.5670 5.9571
```

DFT (PBE) results for a geometry-optimized YHo2PuO8 structure.

## Properties
Calculated volume   179 Å³/cell
Total magnetization   0.083 μB per atom
SG   Cmmm
Formation energy without anion corrections   -3.10 eV per atom

POSCAR file:
```
YHo2PuO8
1.0
3.5607 -3.6190 0.0000
3.5607 3.6190 0.0000
0.0000 0.0000 6.9556
Y Ho Pu O
1 2 1 8
Cartesian
0.0000 0.0000 0.0000
3.5607 0.0000 1.6721
3.5607 0.0000 5.2835
0.0000 0.0000 3.4778
3.5607 2.2807 1.9390
3.5607 2.2807 5.0166
1.9985 0.0000 3.4778
2.1997 0.0000 0.0000
4.9217 0.0000 0.0000
5.1230 0.0000 3.4778
3.5607 -2.2807 1.9390
3.5607 -2.2807 5.0166
```

DFT (PBE) results for a geometry-optimized LaAsHPt structure.

## Properties
Calculated volume   152 Å³/cell
Total magnetization   0.000 μB per atom
SG   P6_3mc
E   -45.01 eV for the cell shown

POSCAR file:
```
LaAsHPt
1.0
4.2176 0.0000 0.0000
-2.1088 3.6526 0.0000
0.0000 0.0000 9.8497
La As H Pt
2 2 2 2
Cartesian
0.0000 2.4350 0.0000
2.1088 1.2175 4.9249
0.0000 2.4350 6.7599
2.1088 1.2175 1.8351
0.0000 0.0000 4.1922
0.0000 0.0000 9.1170
0.0000 0.0000 2.4593
0.0000 0.0000 7.3841
```